No. 1
Computed, not measured: a relaxed TeIr2I2 crystal at the PBE-GGA level of DFT.

Calculated values
ΔE_f (raw) ... 0.8575 eV per atom
E ... -0.28924 Ry/atom
E above lowest polymorph ... 0 kJ/mol of formula units

Lattice parameters (Å, degrees): 7.3509 7.3509 4.1697 90.00 90.00 90.00
Last column: nearest neighbours and their distance in Å.
Fractional coordinates of all 10 atoms:
Te (0.0000, 0.0000, 0.0000)  4 Ir 2.89
Te (0.5000, 0.5000, 0.0000)  4 Ir 2.89
Ir (0.1278, 0.3722, 0.0000)  1 Ir 2.66, 2 I 2.88, 2 Te 2.89
Ir (0.3722, 0.8722, 0.0000)  1 Ir 2.66, 2 I 2.88, 2 Te 2.89
Ir (0.6278, 0.1278, 0.0000)  1 Ir 2.66, 2 I 2.88, 2 Te 2.89
Ir (0.8722, 0.6278, 0.0000)  1 Ir 2.66, 2 I 2.88, 2 Te 2.89
I (0.1804, 0.6804, 0.5000)  6 Ir 2.88-3.10
I (0.3196, 0.1804, 0.5000)  6 Ir 2.88-3.10
I (0.6804, 0.8196, 0.5000)  6 Ir 2.88-3.10
I (0.8196, 0.3196, 0.5000)  6 Ir 2.88-3.10

=====

No. 2
Computed, not measured: a relaxed TeIr3I crystal at the PBE-GGA level of DFT.

Calculated values
ΔE_f (raw) ... 1.7209 eV per atom
E ... -0.33325 Ry/atom
E above lowest polymorph ... 0 kJ/mol of formula units

Lattice parameters (Å, degrees): 4.9363 4.9363 4.9363 90.00 90.00 90.00
Last column: nearest neighbours and their distance in Å.
Fractional coordinates of all 5 atoms:
Te (0.0000, 0.0000, 0.0000)  6 Ir 2.47
Ir (0.0000, 0.0000, 0.5000)  2 Te 2.47
Ir (0.0000, 0.5000, 0.0000)  2 Te 2.47
Ir (0.5000, 0.0000, 0.0000)  2 Te 2.47
I (0.5000, 0.5000, 0.5000)  12 Ir 3.49

=====

No. 3
Computed, not measured: a relaxed Te3IrI crystal at the PBE-GGA level of DFT.

Calculated values
ΔE_f (raw) ... 0.4358 eV per atom
E ... -0.25955 Ry/atom
E above lowest polymorph ... 0 kJ/mol of formula units

Lattice parameters (Å, degrees): 5.3073 5.3073 5.3073 90.00 90.00 90.00
Last column: nearest neighbours and their distance in Å.
Fractional coordinates of all 5 atoms:
Te (0.0000, 0.0000, 0.5000)  2 Ir 2.65
Te (0.0000, 0.5000, 0.0000)  2 Ir 2.65
Te (0.5000, 0.0000, 0.0000)  2 Ir 2.65
Ir (0.0000, 0.0000, 0.0000)  6 Te 2.65
I (0.5000, 0.5000, 0.5000)  12 Te 3.75

=====

No. 4
Computed, not measured: a relaxed TiTeIr2I crystal at the PBE-GGA level of DFT.

Calculated values
ΔE_f (raw) ... 1.3995 eV per atom
E ... -0.34267 Ry/atom

Lattice parameters (Å, degrees): 4.9106 4.9106 4.9755 90.00 90.00 90.00
Last column: nearest neighbours and their distance in Å.
Fractional coordinates of all 5 atoms:
Ti (0.0000, 0.0000, 0.0000)  2 I 2.49
Te (0.5000, 0.5000, 0.0000)  4 Ti 3.47, 8 Ir 3.50
Ir (0.0000, 0.5000, 0.5000)  2 I 2.46
Ir (0.5000, 0.0000, 0.5000)  2 I 2.46
I (0.0000, 0.0000, 0.5000)  4 Ir 2.46, 2 Ti 2.49

=====

No. 5
Computed, not measured: a relaxed TiTeIrI2 crystal at the PBE-GGA level of DFT.

Calculated values
ΔE_f (raw) ... 0.6745 eV per atom
E ... -0.28849 Ry/atom
E above lowest polymorph ... 0 kJ/mol of formula units

Lattice parameters (Å, degrees): 5.3713 5.3713 5.3196 90.00 90.00 90.00
Last column: nearest neighbours and their distance in Å.
Fractional coordinates of all 5 atoms:
Ti (0.0000, 0.0000, 0.0000)  8 I 3.78, 4 Te 3.80
Te (0.5000, 0.5000, 0.0000)  2 Ir 2.66
Ir (0.5000, 0.5000, 0.5000)  2 Te 2.66, 4 I 2.69
I (0.0000, 0.5000, 0.5000)  2 Ir 2.69
I (0.5000, 0.0000, 0.5000)  2 Ir 2.69

=====

No. 6
Computed, not measured: a relaxed TiTeIrI2 crystal at the PBE-GGA level of DFT.

Calculated values
ΔE_f (raw) ... 0.9317 eV per atom
E ... -0.26959 Ry/atom
E above lowest polymorph ... 124 kJ/mol of formula units

Lattice parameters (Å, degrees): 5.3133 5.3133 5.4927 90.00 90.00 90.00
Last column: nearest neighbours and their distance in Å.
Fractional coordinates of all 5 atoms:
Ti (0.0000, 0.0000, 0.0000)  4 I 2.66, 2 Te 2.75
Te (0.0000, 0.0000, 0.5000)  2 Ti 2.75
Ir (0.5000, 0.5000, 0.5000)  4 Te 3.76, 8 I 3.82
I (0.0000, 0.5000, 0.0000)  2 Ti 2.66
I (0.5000, 0.0000, 0.0000)  2 Ti 2.66

=====

No. 7
Computed, not measured: a relaxed TlTeIrI2 crystal at the PBE-GGA level of DFT.

Calculated values
ΔE_f (raw) ... 0.0789 eV per atom
E ... -0.25100 Ry/atom
E above lowest polymorph ... 0 kJ/mol of formula units

Lattice parameters (Å, degrees): 5.7544 5.7544 5.0745 90.00 90.00 90.00
Last column: nearest neighbours and their distance in Å.
Fractional coordinates of all 5 atoms:
Tl (0.0000, 0.0000, 0.0000)  8 I 3.84, 4 Te 4.07
Te (0.5000, 0.5000, 0.0000)  2 Ir 2.54
Ir (0.5000, 0.5000, 0.5000)  2 Te 2.54
I (0.0000, 0.5000, 0.5000)  2 Ir 2.88
I (0.5000, 0.0000, 0.5000)  2 Ir 2.88

=====

No. 8
Computed, not measured: a relaxed TlTe2IrI crystal at the PBE-GGA level of DFT.

Calculated values
ΔE_f (raw) ... 0.1828 eV per atom
E ... -0.26675 Ry/atom
E above lowest polymorph ... 0 kJ/mol of formula units

Lattice parameters (Å, degrees): 5.2763 5.2763 5.7781 90.00 90.00 90.00
Last column: nearest neighbours and their distance in Å.
Fractional coordinates of all 5 atoms:
Tl (0.0000, 0.0000, 0.0000)  4 I 3.73, 8 Te 3.91
Te (0.0000, 0.5000, 0.5000)  2 Ir 2.64
Te (0.5000, 0.0000, 0.5000)  2 Ir 2.64
Ir (0.5000, 0.5000, 0.5000)  4 Te 2.64, 2 I 2.89
I (0.5000, 0.5000, 0.0000)  2 Ir 2.89

=====

no.,size of the total moment (μB/f.u.)
1,0.00
2,0.00
3,0.00
4,0.01
5,1.96
6,2.20
7,0.00
8,0.00